1.
First-principles (PBE) data for Sm3Mn5S12 after structural relaxation, as listed in Alexandria via LeMat-Bulk.

Values from the calculation:
As for the final energy: -6.55 eV/atom. Its formation energy without anion corrections is -1.074 eV per atom. Its space-group type is Ia-3d (230).

Lattice parameters (Å, degrees): 13.025 13.025 13.025 109.47 109.47 109.47
Sites, in units of the cell vectors:
S: 0.529 0.325 0.909
S: 0.325 0.529 0.409
S: 0.909 0.825 0.529
S: 0.296 0.880 0.971
S: 0.971 0.591 0.175
S: 0.916 0.825 0.796
S: 0.120 0.704 0.529
S: 0.091 0.175 0.471
S: 0.471 0.796 0.880
S: 0.704 0.584 0.175
S: 0.880 0.296 0.471
S: 0.409 0.380 0.584
S: 0.584 0.880 0.409
S: 0.175 0.091 0.971
S: 0.416 0.120 0.591
S: 0.909 0.084 0.880
S: 0.409 0.029 0.325
S: 0.204 0.675 0.084
S: 0.796 0.325 0.916
S: 0.325 0.796 0.416
S: 0.175 0.084 0.704
S: 0.380 0.409 0.084
S: 0.204 0.529 0.620
S: 0.084 0.175 0.204
S: 0.825 0.909 0.029
S: 0.084 0.909 0.380
S: 0.591 0.971 0.675
S: 0.029 0.620 0.704
S: 0.529 0.204 0.120
S: 0.029 0.409 0.825
S: 0.916 0.091 0.620
S: 0.416 0.296 0.325
S: 0.591 0.620 0.416
S: 0.880 0.584 0.909
S: 0.971 0.380 0.296
S: 0.471 0.675 0.091
S: 0.825 0.916 0.296
S: 0.380 0.971 0.796
S: 0.675 0.204 0.584
S: 0.120 0.416 0.091
S: 0.620 0.591 0.916
S: 0.584 0.704 0.675
S: 0.675 0.471 0.591
S: 0.296 0.416 0.825
S: 0.620 0.029 0.204
S: 0.796 0.471 0.380
S: 0.091 0.916 0.120
S: 0.704 0.120 0.029
Mn: 0.250 0.375 0.625
Mn: 0.000 0.000 0.500
Mn: 0.750 0.125 0.875
Mn: 0.375 0.125 0.750
Mn: 0.625 0.750 0.875
Mn: 0.500 0.500 0.000
Mn: 0.500 0.000 0.500
Mn: 0.875 0.250 0.625
Mn: 0.625 0.875 0.250
Mn: 0.875 0.625 0.750
Mn: 0.250 0.875 0.125
Mn: 0.500 0.500 0.500
Mn: 0.500 0.000 0.000
Mn: 0.000 0.500 0.000
Mn: 0.750 0.625 0.375
Mn: 0.125 0.750 0.375
Mn: 0.000 0.500 0.500
Mn: 0.000 0.000 0.000
Mn: 0.375 0.250 0.125
Mn: 0.125 0.375 0.250
Sm: 0.750 0.375 0.125
Sm: 0.750 0.875 0.625
Sm: 0.125 0.250 0.875
Sm: 0.625 0.250 0.375
Sm: 0.250 0.125 0.375
Sm: 0.875 0.125 0.250
Sm: 0.375 0.750 0.625
Sm: 0.625 0.375 0.750
Sm: 0.125 0.875 0.750
Sm: 0.375 0.625 0.250
Sm: 0.875 0.750 0.125
Sm: 0.250 0.625 0.875

=====

2.
First-principles (PBE) data for Zr4Ru after structural relaxation, as listed in Alexandria via LeMat-Bulk.

Values from the calculation:
As for the final energy: -8.38 eV/atom. As for the formation enthalpy at 0 K: 0.319 eV per atom. Its space-group type is Pm-3m (221).

Lattice parameters (Å, degrees): 5.003 5.003 5.003 90.00 90.00 90.00
Sites, in units of the cell vectors:
Zr: 0.500 0.000 0.500
Zr: 0.000 0.000 0.000
Zr: 0.000 0.500 0.500
Zr: 0.500 0.500 0.000
Ru: 0.500 0.500 0.500

=====

3.
First-principles (PBE) data for AcMgCuIr after structural relaxation, as listed in Alexandria via LeMat-Bulk.

Values from the calculation:
As for the final energy: -4.81 eV/atom. As for the formation enthalpy at 0 K: -0.146 eV per atom. Its space-group type is F-43m (216).

Lattice parameters (Å, degrees): 4.971 4.971 4.971 60.00 60.00 60.00
Sites, in units of the cell vectors:
Ac: 0.500 0.500 0.500
Cu: 0.750 0.750 0.750
Mg: 0.000 0.000 0.000
Ir: 0.250 0.250 0.250

=====

4.
First-principles (PBE) data for BaTlMo3 after structural relaxation, as listed in Alexandria via LeMat-Bulk.

Values from the calculation:
As for the final energy: -4.40 eV/atom. As for the formation enthalpy at 0 K: 2.957 eV per atom. Its space-group type is Pm-3m (221).

Lattice parameters (Å, degrees): 5.077 5.077 5.077 90.00 90.00 90.00
Sites, in units of the cell vectors:
Mo: 0.000 0.500 0.000
Mo: 0.500 0.000 0.000
Mo: 0.000 0.000 0.500
Tl: 0.500 0.500 0.500
Ba: 0.000 0.000 0.000